# YSiSe2 PBEsol optimized geometry
# * D(E_F): 3.1 states/eV per cell
# * V: 83 Å³/cell
# * E_form (uncorrected): -659 meV per atom
# * energy: -5.726 eV/atom
data_YSiSe2
_chemical_formula_sum 'Y1 Si1 Se2'
_symmetry_space_group_name_H-M 'P 1'
_symmetry_Int_Tables_number 1
_cell_length_a 4.855
_cell_length_b 4.855
_cell_length_c 4.855
_cell_angle_alpha 93.18
_cell_angle_beta 118.18
_cell_angle_gamma 118.18
loop_
_symmetry_equiv_pos_as_xyz
'x,y,z'
loop_
_atom_site_label
_atom_site_type_symbol
_atom_site_fract_x
_atom_site_fract_y
_atom_site_fract_z
Se1 Se 0.500 0.750 0.250
Se2 Se 0.500 0.250 0.750
Y1 Y 0.000 0.500 0.500
Si1 Si 0.000 0.000 0.000



# AlCd2In PBEsol optimized geometry
# * D(E_F): 1.8 states/eV per cell
# * V: 87 Å³/cell
# * ΔH_f (0 K): 177 meV/atom
# * energy: -2.190 eV/atom
data_AlCd2In
_chemical_formula_sum 'Al1 Cd2 In1'
_symmetry_space_group_name_H-M 'P 1'
_symmetry_Int_Tables_number 1
_cell_length_a 4.980
_cell_length_b 4.980
_cell_length_c 4.980
_cell_angle_alpha 60.00
_cell_angle_beta 60.00
_cell_angle_gamma 60.00
loop_
_symmetry_equiv_pos_as_xyz
'x,y,z'
loop_
_atom_site_label
_atom_site_type_symbol
_atom_site_fract_x
_atom_site_fract_y
_atom_site_fract_z
Al1 Al 0.000 0.000 0.000
In1 In 0.500 0.500 0.500
Cd1 Cd 0.750 0.750 0.750
Cd2 Cd 0.250 0.250 0.250